No. 1
The following is a PBE calculation of PuPaSeS after structural relaxation, from Alexandria via LeMat-Bulk.

The structure in CIF format:
```
data_PuPaSeS
_space_group_name_H-M_alt 'F -4 3 m'
_space_group_IT_number 216
_space_group_name_Hall 'F -4 2 3'
_cell_length_a 6.995
_cell_length_b 6.995
_cell_length_c 6.995
_cell_angle_alpha 90.00
_cell_angle_beta 90.00
_cell_angle_gamma 90.00
loop_
_atom_site_label
_atom_site_fract_x
_atom_site_fract_y
_atom_site_fract_z
Pu1 0.000 0.000 0.000
Pa1 0.000 0.000 0.500
Se1 0.250 0.250 0.250
S1 0.250 0.250 0.750
```

Computed properties:
Total magnetic moment = 32.7 Bohr magnetons per cell
Formation energy without anion corrections = -1.241 eV per atom
Calculated volume = 21.387 A^3/atom
E = -9.1012 eV/atom

***

No. 2
The following is a PBE calculation of PuPaSeS2 after structural relaxation, from Alexandria via LeMat-Bulk.

The structure in CIF format:
```
data_PuPaSeS2
_space_group_name_H-M_alt 'I 4 m m'
_space_group_IT_number 107
_space_group_name_Hall 'I 4 -2'
_cell_length_a 4.322
_cell_length_b 4.322
_cell_length_c 12.794
_cell_angle_alpha 90.00
_cell_angle_beta 90.00
_cell_angle_gamma 90.00
loop_
_atom_site_label
_atom_site_fract_x
_atom_site_fract_y
_atom_site_fract_z
Pu1 0.000 0.000 0.000
Pa1 0.000 0.000 0.247
Se1 0.000 0.000 0.628
S1 0.000 0.500 0.370
```

Computed properties:
Total magnetic moment = 14.0 Bohr magnetons per cell
Formation energy without anion corrections = -1.258 eV per atom
Calculated volume = 23.903 A^3/atom
E = -8.3715 eV/atom

***

No. 3
The following is a PBE calculation of PuPaSeS after structural relaxation, from Alexandria via LeMat-Bulk.

The structure in CIF format:
```
data_PuPaSeS
_space_group_name_H-M_alt 'R 3 m'
_space_group_IT_number 160
_space_group_name_Hall 'R 3 -2"'
_cell_length_a 3.8852
_cell_length_b 3.8852
_cell_length_c 21.3419
_cell_angle_alpha 90.00
_cell_angle_beta 90.00
_cell_angle_gamma 120.00
loop_
_atom_site_label
_atom_site_fract_x
_atom_site_fract_y
_atom_site_fract_z
Pu1 0.0000 0.0000 0.0000
Pa1 0.0000 0.0000 0.1833
Se1 0.0000 0.0000 0.4246
S1 0.0000 0.0000 0.5941
```

Computed properties:
Total magnetic moment = 20.3 Bohr magnetons per cell
Formation energy without anion corrections = -1.427 eV per atom
Calculated volume = 23.249 A^3/atom
E = -9.2872 eV/atom

***

No. 4
The following is a PBE calculation of PuPaSiS after structural relaxation, from Alexandria via LeMat-Bulk.

The structure in CIF format:
```
data_PuPaSiS
_space_group_name_H-M_alt 'R 3 m'
_space_group_IT_number 160
_space_group_name_Hall 'R 3 -2"'
_cell_length_a 4.0423
_cell_length_b 4.0423
_cell_length_c 19.2923
_cell_angle_alpha 90.00
_cell_angle_beta 90.00
_cell_angle_gamma 120.00
loop_
_atom_site_label
_atom_site_fract_x
_atom_site_fract_y
_atom_site_fract_z
Pu1 0.0000 0.0000 0.0000
Pa1 0.0000 0.0000 0.5051
Si1 0.0000 0.0000 0.7541
S1 0.0000 0.0000 0.2533
```

Computed properties:
Total magnetic moment = 16.0 Bohr magnetons per cell
Formation energy without anion corrections = -0.987 eV per atom
Calculated volume = 22.751 A^3/atom
E = -9.3316 eV/atom

***

No. 5
The following is a PBE calculation of SmPu2PaS4 after structural relaxation, from Alexandria via LeMat-Bulk.

The structure in CIF format:
```
data_SmPu2PaS4
_space_group_name_H-M_alt 'P 1 2/m 1'
_space_group_IT_number 10
_cell_length_a 6.830
_cell_length_b 3.927
_cell_length_c 6.840
_cell_angle_alpha 90.00
_cell_angle_beta 109.28
_cell_angle_gamma 90.00
loop_
_space_group_symop_operation_xyz
'x,y,z'
'-x,-y,-z'
'-x,y,-z'
'x,-y,z'
loop_
_atom_site_label
_atom_site_fract_x
_atom_site_fract_y
_atom_site_fract_z
Sm1 0.000 0.000 0.000
Pu1 0.500 0.000 0.500
Pu2 0.500 0.500 0.000
Pa1 0.000 0.500 0.500
S1 0.253 0.000 0.748
S2 0.254 0.500 0.255
```

Computed properties:
Total magnetic moment = 10.9 Bohr magnetons per cell
Formation energy without anion corrections = -1.790 eV per atom
Calculated volume = 21.648 A^3/atom
E = -9.2135 eV/atom

***

No. 6
The following is a PBE calculation of SmPuPa2S4 after structural relaxation, from Alexandria via LeMat-Bulk.

The structure in CIF format:
```
data_SmPuPa2S4
_space_group_name_H-M_alt 'P 1 2/m 1'
_space_group_IT_number 10
_cell_length_a 6.723
_cell_length_b 3.889
_cell_length_c 6.944
_cell_angle_alpha 90.00
_cell_angle_beta 108.92
_cell_angle_gamma 90.00
loop_
_space_group_symop_operation_xyz
'x,y,z'
'-x,-y,-z'
'-x,y,-z'
'x,-y,z'
loop_
_atom_site_label
_atom_site_fract_x
_atom_site_fract_y
_atom_site_fract_z
Sm1 0.000 0.000 0.000
Pu1 0.500 0.500 0.000
Pa1 0.000 0.500 0.500
Pa2 0.500 0.000 0.500
S1 0.253 0.000 0.750
S2 0.253 0.500 0.253
```

Computed properties:
Total magnetic moment = 5.0 Bohr magnetons per cell
Formation energy without anion corrections = -1.734 eV per atom
Calculated volume = 21.470 A^3/atom
E = -8.5531 eV/atom

***

No. 7
The following is a PBE calculation of SrPuPa2S8 after structural relaxation, from Alexandria via LeMat-Bulk.

The structure in CIF format:
```
data_SrPuPa2S8
_space_group_name_H-M_alt 'P 1 2/m 1'
_space_group_IT_number 10
_cell_length_a 6.268
_cell_length_b 8.373
_cell_length_c 6.370
_cell_angle_alpha 90.00
_cell_angle_beta 91.60
_cell_angle_gamma 90.00
loop_
_space_group_symop_operation_xyz
'x,y,z'
'-x,-y,-z'
'-x,y,-z'
'x,-y,z'
loop_
_atom_site_label
_atom_site_fract_x
_atom_site_fract_y
_atom_site_fract_z
Sr1 0.000 0.000 0.000
Pu1 0.000 0.500 0.000
Pa1 0.500 0.252 0.500
S1 0.245 0.273 0.168
S2 0.282 0.500 0.661
S3 0.286 0.000 0.636
```

Computed properties:
Total magnetic moment = 4.0 Bohr magnetons per cell
Formation energy without anion corrections = -1.519 eV per atom
Calculated volume = 27.847 A^3/atom
E = -7.1875 eV/atom

***

No. 8
The following is a PBE calculation of TbPuPa2S4 after structural relaxation, from Alexandria via LeMat-Bulk.

The structure in CIF format:
```
data_TbPuPa2S4
_space_group_name_H-M_alt 'P 1 2/m 1'
_space_group_IT_number 10
_cell_length_a 6.667
_cell_length_b 3.852
_cell_length_c 6.945
_cell_angle_alpha 90.00
_cell_angle_beta 108.71
_cell_angle_gamma 90.00
loop_
_space_group_symop_operation_xyz
'x,y,z'
'-x,-y,-z'
'-x,y,-z'
'x,-y,z'
loop_
_atom_site_label
_atom_site_fract_x
_atom_site_fract_y
_atom_site_fract_z
Tb1 0.000 0.000 0.000
Pu1 0.500 0.500 0.000
Pa1 0.000 0.500 0.500
Pa2 0.500 0.000 0.500
S1 0.249 0.500 0.248
S2 0.251 0.000 0.753
```

Computed properties:
Total magnetic moment = 4.9 Bohr magnetons per cell
Formation energy without anion corrections = -1.737 eV per atom
Calculated volume = 21.119 A^3/atom
E = -8.5446 eV/atom